MgCrO2F | the Alexandria database | PBE+U | optimized geometry; total magnetic moment = 2.998 μB/cell; calculated total energy = -6.09 eV/atom
1.0
3.905 0.000 0.000
0.000 3.905 0.000
0.000 0.000 3.772
Cr Mg O F
1 1 2 1
Direct
0.000 0.000 0.000
0.500 0.500 0.500
0.000 0.500 0.000
0.500 0.000 0.000
0.000 0.000 0.500